This record from Alexandria via LeMat-Bulk describes an optimized crystal structure of YNiOs2. The functional is GGA-PBE.

It has space group P4mm (No. 99), with a = 2.931 Å, b = 2.931 Å, c = 7.544 Å, α = 90.00°, β = 90.00° and γ = 90.00°. The inequivalent atoms are Y at (0.000, 0.000, 0.000), Ni at (0.500, 0.500, 0.272), Os at (0.000, 0.000, 0.484) and Os at (0.500, 0.500, 0.698).

As for the relative energy among the computed polymorphs: 324 meV/atom.


This record from Alexandria via LeMat-Bulk describes an optimized crystal structure of YNiOs2. The functional is GGA-PBE.

It has space group Cm (No. 8), with a = 10.125 Å, b = 4.370 Å, c = 6.380 Å, α = 90.00°, β = 98.16° and γ = 90.00°. The inequivalent atoms are Y at (0.000, 0.000, 0.000), Y at (0.188, 0.500, 0.732), Ni at (0.164, 0.000, 0.413), Ni at (0.384, 0.000, 0.714), Os at (0.229, 0.500, 0.226), Os at (0.301, 0.000, 0.074), Os at (0.423, 0.500, 0.495) and Os at (0.498, 0.000, 0.351).

As for the relative energy among the computed polymorphs: 130 meV/atom.


This record from Alexandria via LeMat-Bulk describes an optimized crystal structure of Y6Ni2Os. The functional is GGA-PBE.

It has space group Immm (No. 71), with a = 9.433 Å, b = 9.478 Å, c = 9.603 Å, α = 90.00°, β = 90.00° and γ = 90.00°. The inequivalent atoms are Y at (0.000, 0.183, 0.240), Y at (0.194, 0.500, 0.330), Y at (0.241, 0.326, 0.000), Ni at (0.000, 0.342, 0.500), Ni at (0.000, 0.500, 0.118), Os at (0.000, 0.000, 0.000) and Os at (0.000, 0.000, 0.500).


This record from Alexandria via LeMat-Bulk describes an optimized crystal structure of YNiOs2. The functional is GGA-PBE.

It has space group R3m (No. 160, hexagonal axes), with a = 2.8331 Å, b = 2.8331 Å, c = 27.8442 Å, α = 90.00°, β = 90.00° and γ = 120.00°. The inequivalent atoms are Y at (0.0000, 0.0000, 0.0000), Ni at (0.0000, 0.0000, 0.7546), Os at (0.0000, 0.0000, 0.2370) and Os at (0.0000, 0.0000, 0.4957).

As for the relative energy among the computed polymorphs: 708 meV/atom.


no.,magnetization (μB per cell),raw total energy (eV/atom)
1,0.000,-8.543
2,0.000,-8.737
3,0.000,-7.093
4,0.834,-8.159